ScSOF2: relaxed, PBE.

Lattice parameters (Å, degrees): 4.729 4.729 3.404 90.00 90.00 90.00
Atoms (fractional coordinates):
Sc (0.000, 0.000, 0.000)
S (0.500, 0.500, 0.500)
O (0.500, 0.500, 0.000)
F (0.000, 0.500, 0.500)
F (0.500, 0.000, 0.500)

Its crystal system is tetragonal. As for the space group: P4/mmm, No. 123. Its formation energy from raw total energies is -4.41 eV per formula unit. The calculation puts the energy relative to the lowest polymorph listed for this composition at 1.0755 eV/atom. Its mass density is 2.86 g/cm³.



ScSO2F: relaxed, PBE.

Lattice parameters (Å, degrees): 3.664 3.664 4.784 90.00 90.00 90.00
Atoms (fractional coordinates):
Sc (0.000, 0.000, 0.000)
S (0.500, 0.500, 0.500)
O (0.000, 0.500, 0.500)
O (0.500, 0.000, 0.500)
F (0.500, 0.500, 0.000)

Its crystal system is tetragonal. As for the space group: P4/mmm, No. 123. Its formation energy from raw total energies is -4.17 eV per formula unit. Its mass density is 3.31 g/cm³.